# 1
DFT (PBE-GGA) results for crystalline NaLiTl2 at its relaxed geometry.

Unit cell a=11.169 b=11.169 c=11.169 alpha=156.16 beta=156.16 gamma=33.96
Fractional positions:
1 Na 0.000 0.000 0.000
2 Na 0.750 0.250 0.500
3 Li 0.250 0.750 0.500
4 Li 0.500 0.500 0.000
5 Tl 0.141 0.625 0.016
6 Tl 0.375 0.391 0.516
7 Tl 0.609 0.125 0.984
8 Tl 0.875 0.859 0.484

Final energy: -1.969 eV/atom
Offset from the most stable computed form: 4.27 kcal/mol of atoms

# 2
DFT (PBE-GGA) results for crystalline ScCuIrPd at its relaxed geometry.

Unit cell a=4.433 b=4.433 c=4.433 alpha=60.00 beta=60.00 gamma=60.00
Fractional positions:
1 Sc 0.000 0.000 0.000
2 Cu 0.500 0.500 0.500
3 Ir 0.250 0.250 0.250
4 Pd 0.750 0.750 0.750

Final energy: -6.608 eV/atom

# 3
DFT (PBE-GGA) results for crystalline LiTb2Sc3Te6 at its relaxed geometry.

Unit cell a=9.506 b=9.506 c=8.523 alpha=103.27 beta=103.27 gamma=25.70
Fractional positions:
1 Li 0.000 0.000 0.000
2 Tb 0.332 0.332 0.663
3 Tb 0.668 0.668 0.337
4 Sc 0.000 0.000 0.500
5 Sc 0.330 0.330 0.171
6 Sc 0.670 0.670 0.829
7 Te 0.162 0.162 0.592
8 Te 0.165 0.165 0.070
9 Te 0.496 0.496 0.249
10 Te 0.504 0.504 0.751
11 Te 0.835 0.835 0.930
12 Te 0.838 0.838 0.408

Final energy: -5.299 eV/atom
Formation energy (no corrections): -1.214 eV per atom

# 4
DFT (PBE-GGA) results for crystalline GaPdPt at its relaxed geometry.

Unit cell a=4.150 b=4.150 c=4.150 alpha=60.00 beta=60.00 gamma=60.00
Fractional positions:
1 Ga 0.000 0.000 0.000
2 Pd 0.250 0.250 0.250
3 Pt 0.750 0.750 0.750

Final energy: -5.284 eV/atom
Offset from the most stable computed form: 2.04 kcal/mol of atoms

# 5
DFT (PBE-GGA) results for crystalline SrCoHPt2 at its relaxed geometry.

Unit cell a=4.054 b=4.054 c=4.578 alpha=90.00 beta=90.00 gamma=90.00
Fractional positions:
1 Sr 0.000 0.000 0.000
2 Co 0.500 0.500 0.000
3 H 0.000 0.000 0.500
4 Pt 0.000 0.500 0.500
5 Pt 0.500 0.000 0.500

Final energy: -4.814 eV/atom

# 6
DFT (PBE-GGA) results for crystalline Ac4PuGe4 at its relaxed geometry.

Unit cell a=9.468 b=9.468 c=6.456 alpha=90.00 beta=90.00 gamma=90.00
Fractional positions:
1 Ac 0.036 0.682 0.108
2 Ac 0.182 0.964 0.608
3 Ac 0.318 0.536 0.608
4 Ac 0.464 0.818 0.108
5 Ac 0.536 0.182 0.892
6 Ac 0.682 0.464 0.392
7 Ac 0.818 0.036 0.392
8 Ac 0.964 0.318 0.892
9 Pu 0.250 0.250 0.250
10 Pu 0.750 0.750 0.750
11 Ge 0.001 0.627 0.598
12 Ge 0.127 0.999 0.098
13 Ge 0.373 0.501 0.098
14 Ge 0.499 0.873 0.598
15 Ge 0.501 0.127 0.402
16 Ge 0.627 0.499 0.902
17 Ge 0.873 0.001 0.902
18 Ge 0.999 0.373 0.402

Final energy: -5.941 eV/atom